# 1
VASP calculation (GGA-PBE) on a geometry-optimized SmPb6 structure.

Geometry as CIF:
```
data_SmPb6
_symmetry_space_group_name_H-M 'P 1'
_symmetry_Int_Tables_number 1
_symmetry_space_group_name_Hall 'P 1'
_cell_length_a 7.369
_cell_length_b 7.369
_cell_length_c 7.369
_cell_angle_alpha 109.47
_cell_angle_beta 109.47
_cell_angle_gamma 109.47
loop_
_atom_site_label
_atom_site_fract_x
_atom_site_fract_y
_atom_site_fract_z
Pb1 0.750 0.250 0.500
Pb2 0.750 0.500 0.250
Pb3 0.500 0.750 0.250
Pb4 0.250 0.500 0.750
Pb5 0.500 0.250 0.750
Pb6 0.250 0.750 0.500
Sm1 0.000 0.000 0.000
```

- Energy: -22.66 eV for the cell shown
- Total magnetization: 0.7 μB per formula unit
- Space-group type: Im-3m (229)

***

# 2
VASP calculation (GGA-PBE) on a geometry-optimized LiTb2Hg8 structure.

Geometry as CIF:
```
data_LiTb2Hg8
_symmetry_space_group_name_H-M 'P 1'
_symmetry_Int_Tables_number 1
_symmetry_space_group_name_Hall 'P 1'
_cell_length_a 5.005
_cell_length_b 6.947
_cell_length_c 8.605
_cell_angle_alpha 113.18
_cell_angle_beta 106.91
_cell_angle_gamma 90.00
loop_
_atom_site_label
_atom_site_fract_x
_atom_site_fract_y
_atom_site_fract_z
Tb1 0.802 0.306 0.604
Tb2 0.198 0.694 0.396
Hg1 0.634 0.861 0.267
Hg2 0.998 0.278 0.996
Hg3 0.167 0.169 0.334
Hg4 0.002 0.722 0.004
Hg5 0.833 0.831 0.666
Hg6 0.372 0.593 0.743
Hg7 0.366 0.139 0.733
Hg8 0.628 0.407 0.257
Li1 0.500 0.000 0.000
```

- Energy: -16.77 eV for the cell shown
- Total magnetization: 0.0 μB per formula unit
- Space-group type: C2/m (12)

***

# 3
VASP calculation (GGA-PBE) on a geometry-optimized Y3NpTl4Se8 structure.

Geometry as CIF:
```
data_Y3NpTl4Se8
_symmetry_space_group_name_H-M 'P 1'
_symmetry_Int_Tables_number 1
_symmetry_space_group_name_Hall 'P 1'
_cell_length_a 8.408
_cell_length_b 9.153
_cell_length_c 8.408
_cell_angle_alpha 117.36
_cell_angle_beta 120.00
_cell_angle_gamma 90.00
loop_
_atom_site_label
_atom_site_fract_x
_atom_site_fract_y
_atom_site_fract_z
Se1 0.236 0.705 0.473
Se2 0.732 0.705 0.969
Se3 0.265 0.296 0.530
Se4 0.764 0.295 0.527
Se5 0.236 0.705 0.969
Se6 0.764 0.295 0.031
Se7 0.268 0.295 0.031
Se8 0.735 0.704 0.470
Y1 0.000 0.500 0.500
Y2 0.500 0.500 0.000
Y3 0.500 0.500 0.500
Tl1 0.500 0.000 0.000
Tl2 0.500 0.000 0.500
Tl3 0.000 0.000 0.500
Tl4 0.000 0.000 0.000
Np1 0.000 0.500 0.000
```

- Total magnetization: 4.0 μB per formula unit
- Space-group type: R-3m (166)
- Raw formation energy: -1.26 eV/atom

***

Question: Which value of total magnetization does entry 3 give?
Answer: 4.0 μB per formula unit

***

Question: Which of these has the lowest total magnetization?
Answer: LiTb2Hg8

***

Question: What is the total magnetization in the second record?
Answer: 0.0 μB per formula unit

***

Question: What is the formula in the first record?
Answer: SmPb6